Record 1
Pm2ErPd3: relaxed, PBE-GGA. Values from VASP.

```
&SYSTEM
  ibrav = 0, nat = 12, ntyp = 3
/
ATOMIC_SPECIES
Pm 145.00 Pm.upf
Pd 106.42 Pd.upf
Er 167.26 Er.upf
ATOMIC_POSITIONS angstrom
Pm -10.299 -0.694 3.319
Pm -10.479 -4.721 6.286
Pm -6.187 0.267 0.411
Pm -2.225 -2.792 0.450
Pd -5.472 -2.697 0.772
Pd -2.940 0.173 0.089
Pd -1.200 -1.695 -2.258
Pd -9.284 -3.588 3.468
Pd -7.212 -0.830 3.119
Pd -11.494 -1.826 6.138
Er -8.410 -2.526 0.865
Er -0.002 0.001 -0.003
CELL_PARAMETERS angstrom
-2.063 1.234 -2.510
-0.333 -4.626 -2.000
-12.366 -2.890 8.743
```

Results
The value obtained for the calculated formation energy is -0.820 eV per atom. Its symmetry is Pmmn, No. 59. Its density of states at the Fermi level is 0.62 states/eV per atom.

Record 2
Pm2ErPd: relaxed, PBE-GGA. Values from VASP.

```
&SYSTEM
  ibrav = 0, nat = 16, ntyp = 3
/
ATOMIC_SPECIES
Pm 145.00 Pm.upf
Er 167.26 Er.upf
Pd 106.42 Pd.upf
ATOMIC_POSITIONS angstrom
Pm 5.371 2.249 5.597
Pm 4.378 5.805 5.597
Pm 1.128 4.861 0.597
Pm 2.122 1.306 4.403
Pm 5.371 2.249 9.403
Pm 2.122 1.306 0.597
Pm 4.378 5.805 9.403
Pm 1.128 4.861 4.403
Er 2.324 3.349 7.500
Er 0.925 6.904 7.500
Er 5.574 0.207 2.500
Er 4.175 3.762 2.500
Pd 6.158 4.360 7.500
Pd 2.909 6.306 2.500
Pd 0.341 2.751 2.500
Pd 3.591 0.805 7.500
CELL_PARAMETERS angstrom
6.500 0.000 0.000
0.000 7.111 0.000
0.000 0.000 10.000
```

Results
The value obtained for the calculated formation energy is -0.434 eV per atom. Its symmetry is Pnma, No. 62. Its density of states at the Fermi level is 1.00 states/eV per atom.

Record 3
PmEr2Pd: relaxed, PBE-GGA. Values from VASP.

```
&SYSTEM
  ibrav = 0, nat = 16, ntyp = 3
/
ATOMIC_SPECIES
Er 167.26 Er.upf
Pm 145.00 Pm.upf
Pd 106.42 Pd.upf
ATOMIC_POSITIONS angstrom
Er 2.677 5.895 4.627
Er 5.415 3.938 6.106
Er 0.317 1.000 2.315
Er 2.626 3.779 1.718
Er 3.055 -0.956 3.794
Er 5.364 1.823 3.197
Er 4.986 8.674 4.029
Er 7.724 6.717 5.508
Pm 2.220 2.417 5.033
Pm -0.734 4.638 3.949
Pm 8.775 3.080 3.874
Pm 5.821 5.301 2.791
Pd 4.914 6.770 6.122
Pd 3.544 7.053 2.141
Pd 4.497 0.665 5.682
Pd 3.126 0.947 1.701
CELL_PARAMETERS angstrom
-2.689 3.292 4.921
4.646 -2.897 4.477
6.084 7.323 -1.574
```

Results
The value obtained for the calculated formation energy is -0.469 eV per atom. Its symmetry is Pnma, No. 62. Its density of states at the Fermi level is 1.15 states/eV per atom.

Record 4
Pm2ErPd2: relaxed, PBE-GGA. Values from VASP.

```
&SYSTEM
  ibrav = 0, nat = 10, ntyp = 3
/
ATOMIC_SPECIES
Pd 106.42 Pd.upf
Pm 145.00 Pm.upf
Er 167.26 Er.upf
ATOMIC_POSITIONS angstrom
Pd -0.686 0.196 7.281
Pd -0.743 0.860 4.442
Pd -4.473 -1.119 5.552
Pd 3.044 2.175 6.171
Pm 1.825 -0.517 5.567
Pm 0.180 -2.109 9.021
Pm 0.037 -0.428 1.829
Pm -1.607 -2.020 5.284
Er -3.314 0.047 2.939
Er 1.776 2.277 3.359
CELL_PARAMETERS angstrom
-1.646 3.593 0.873
-4.981 -3.498 5.006
5.198 0.962 5.845
```

Results
The value obtained for the calculated formation energy is -0.683 eV per atom. Its symmetry is P4/mbm, No. 127. Its density of states at the Fermi level is 0.89 states/eV per atom.

Record 5
PmEr2Pd: relaxed, PBE-GGA. Values from VASP.

```
&SYSTEM
  ibrav = 0, nat = 4, ntyp = 3
/
ATOMIC_SPECIES
Pd 106.42 Pd.upf
Er 167.26 Er.upf
Pm 145.00 Pm.upf
ATOMIC_POSITIONS angstrom
Pd -0.561 -3.735 -2.331
Er -6.449 -3.405 2.710
Er -1.693 -2.220 -0.278
Pm -4.297 -4.666 0.016
CELL_PARAMETERS angstrom
-1.457 -1.835 -3.047
0.644 -3.761 -0.467
-7.855 -3.755 3.593
```

Results
The value obtained for the calculated formation energy is -0.323 eV per atom. Its symmetry is R3m, No. 160. Its density of states at the Fermi level is 1.06 states/eV per atom.

Record 6
PmErPdRh: relaxed, PBE-GGA. Values from VASP.

```
&SYSTEM
  ibrav = 0, nat = 4, ntyp = 4
/
ATOMIC_SPECIES
Pm 145.00 Pm.upf
Er 167.26 Er.upf
Pd 106.42 Pd.upf
Rh 102.91 Rh.upf
ATOMIC_POSITIONS angstrom
Pm 0.945 1.192 -0.051
Er 2.346 3.211 2.779
Pd 0.488 0.867 2.881
Rh 2.701 3.407 -0.147
CELL_PARAMETERS angstrom
-2.300 1.920 2.241
2.177 -1.571 3.580
4.451 3.204 -1.300
```

Results
The value obtained for the calculated formation energy is -0.837 eV per atom. Its symmetry is Amm2, No. 38. Its density of states at the Fermi level is 0.64 states/eV per atom.